Here is a relaxed Sr5Ca3Mn7FeO24 crystal from the Alexandria database. Energies are from GGA+U.

```
data_Sr5Ca3Mn7FeO24
_chemical_formula_sum 'Sr10 Ca6 Mn14 Fe2 O48'
_cell_length_a 10.9322
_cell_length_b 10.9322
_cell_length_c 7.7252
_cell_angle_alpha 90.00
_cell_angle_beta 90.01
_cell_angle_gamma 90.00
_symmetry_space_group_name_H-M 'C 1 m 1'
_symmetry_Int_Tables_number 8
loop_
_symmetry_equiv_pos_as_xyz
'x,y,z'
'x,-y,z'
'x+1/2,y+1/2,z'
'x+1/2,-y+1/2,z'
loop_
_atom_site_label
_atom_site_type_symbol
_atom_site_fract_x
_atom_site_fract_y
_atom_site_fract_z
Sr1 Sr 0.9998 0.0000 0.0000
Sr2 Sr 0.9999 0.0000 0.4997
Sr3 Sr 0.0000 0.5000 0.0000
Sr4 Sr 0.2499 0.2501 0.0001
Ca1 Ca 0.2498 0.2493 0.5008
Ca2 Ca 0.4988 0.0000 0.5009
Mn1 Mn 0.9998 0.2507 0.2521
Mn2 Mn 0.9998 0.2506 0.7483
Mn3 Mn 0.2492 0.5000 0.7480
Mn4 Mn 0.2504 0.0000 0.2519
Mn5 Mn 0.2504 0.0000 0.7483
Fe1 Fe 0.2492 0.5000 0.2521
O1 O 0.9999 0.2504 0.9990
O2 O 0.0004 0.2535 0.5000
O3 O 0.1227 0.3737 0.2548
O4 O 0.1243 0.3753 0.7419
O5 O 0.1272 0.1267 0.2548
O6 O 0.1269 0.1269 0.7447
O7 O 0.2480 0.5000 0.5031
O8 O 0.2494 0.5000 0.9958
O9 O 0.2503 0.0000 0.9998
O10 O 0.2535 0.0000 0.4999
O11 O 0.3734 0.3729 0.7447
O12 O 0.3752 0.1243 0.2568
O13 O 0.3755 0.1244 0.7422
O14 O 0.3756 0.3718 0.2539
```

Summary:
Raw total energy (eV/atom): -6.78